1.
Material: Tb3HoCo
Method: DFT, PBE-GGA
State: optimized geometry

Properties
V	135.1	Å³/f.u.
calculated formation energy	-0.01	eV per atom
symmetry	No. 14
DOS(E_F)	26.0	states/eV/cell

abc: 7.3102 7.7676 9.9572
angles: 107.13 90.00 90.00
With the nearest neighbours (Å) after each atom.
Element x y z (fractional)
Ho (0.0548, 0.3118, 0.7456)  1 Co 3.09, 2 Tb 3.25-3.35
Co (0.2446, 0.9534, 0.1085)  6 Tb 2.70-2.84
Co (0.7554, 0.0466, 0.8915)  6 Tb 2.70-2.84
Ho (0.9452, 0.6882, 0.2544)  1 Co 3.09, 2 Tb 3.25-3.35
Tb (0.4942, 0.7876, 0.3824)  2 Co 2.70-2.84
Ho (0.4452, 0.3118, 0.2456)  1 Co 3.09, 2 Tb 3.25-3.35
Ho (0.5548, 0.6882, 0.7544)  1 Co 3.09, 2 Tb 3.25-3.35
Tb (0.3720, 0.0818, 0.8917)  3 Co 2.79-2.83
Co (0.2554, 0.9534, 0.6085)  6 Tb 2.70-2.84
Tb (0.2977, 0.5837, 0.0305)  1 Co 2.77
Tb (0.0058, 0.7876, 0.8824)  2 Co 2.70-2.84
Tb (0.7977, 0.4163, 0.4695)  1 Co 2.77
Tb (0.2023, 0.5837, 0.5305)  1 Co 2.77
Tb (0.6280, 0.9182, 0.1083)  3 Co 2.79-2.83
Co (0.7446, 0.0466, 0.3915)  6 Tb 2.70-2.84
Tb (0.1280, 0.0818, 0.3917)  3 Co 2.79-2.83
Tb (0.9942, 0.2124, 0.1176)  2 Co 2.70-2.84
Tb (0.5058, 0.2124, 0.6176)  2 Co 2.70-2.84
Tb (0.7023, 0.4163, 0.9695)  1 Co 2.77
Tb (0.8720, 0.9182, 0.6083)  3 Co 2.79-2.83

2.
Material: TbHoCo
Method: DFT, PBE-GGA
State: optimized geometry

Properties
V	71.4	Å³/f.u.
calculated formation energy	-0.11	eV per atom
symmetry	No. 107
DOS(E_F)	2.1	states/eV/cell

abc: 3.3636 3.3636 6.7444
angles: 104.44 104.44 90.00
With the nearest neighbours (Å) after each atom.
Element x y z (fractional)
Co (0.6678, 0.6678, 0.3356)  4 Ho 2.86, 4 Tb 2.89
Ho (0.2942, 0.2942, 0.5884)  4 Co 2.86
Tb (0.0380, 0.0380, 0.0760)  4 Co 2.89, 1 Ho 3.23

3.
Material: Tb2HoCo2
Method: DFT, PBE-GGA
State: optimized geometry

Properties
V	110.3	Å³/f.u.
calculated formation energy	-0.13	eV per atom
symmetry	No. 12
DOS(E_F)	9.6	states/eV/cell

abc: 3.8023 6.4724 9.5891
angles: 82.86 78.56 72.92
With the nearest neighbours (Å) after each atom.
Element x y z (fractional)
Co (0.0099, 0.8739, 0.1063)  1 Co 2.45, 2 Tb 2.70
Tb (0.6645, 0.7443, 0.9267)  2 Co 2.70
Co (0.9901, 0.1261, 0.8937)  1 Co 2.45, 2 Tb 2.70
Co (0.8941, 0.6646, 0.5473)  1 Co 2.28
Ho (0.2144, 0.9321, 0.6390)  4 Co 2.70-2.95
Ho (0.7856, 0.0679, 0.3610)  4 Co 2.70-2.95
Co (0.1059, 0.3354, 0.4527)  1 Co 2.28
Tb (0.5353, 0.6240, 0.3055)  6 Co 2.89-3.02
Tb (0.3355, 0.2557, 0.0733)  2 Co 2.70
Tb (0.4647, 0.3760, 0.6945)  6 Co 2.89-3.02